This record from the Alexandria database describes CoHgAu after structural relaxation. The functional is GGA-PBEsol.

Output
- VASP energy (eV/atom) = -3.6098
- crystal system = cubic
- volume (Å³ per cell) = 53.82

Unit cell a=4.238 b=4.238 c=4.238 alpha=60.00 beta=60.00 gamma=60.00
Sites, in units of the cell vectors:
Co (0.250, 0.250, 0.250)
Au (0.500, 0.500, 0.500)
Hg (0.000, 0.000, 0.000)

This record from the Alexandria database describes Na5InO4 after structural relaxation. The functional is GGA-PBEsol.

Output
- E_form (uncorrected) (eV/atom) = -1.39
- VASP energy (eV/atom) = -4.4925
- crystal system = orthorhombic
- volume (Å³ per cell) = 306.74

Unit cell a=5.477 b=7.353 c=7.616 alpha=90.00 beta=90.00 gamma=90.00
Sites, in units of the cell vectors:
Na (0.256, 0.740, 0.694)
Na (0.744, 0.240, 0.806)
Na (0.806, 0.000, 0.500)
Na (0.194, 0.500, 0.000)
Na (0.256, 0.260, 0.694)
Na (0.256, 0.740, 0.306)
Na (0.744, 0.760, 0.806)
Na (0.744, 0.240, 0.194)
Na (0.744, 0.760, 0.194)
Na (0.256, 0.260, 0.306)
In (0.220, 0.000, 0.000)
In (0.780, 0.500, 0.500)
O (0.018, 0.000, 0.233)
O (0.018, 0.000, 0.767)
O (0.421, 0.761, 0.000)
O (0.421, 0.239, 0.000)
O (0.579, 0.261, 0.500)
O (0.579, 0.739, 0.500)
O (0.982, 0.500, 0.267)
O (0.982, 0.500, 0.733)

Number 1: density 14.08 Mg/m³. Number 2: density 3.18 Mg/m³.